# Sm3TePd

A relaxed structure of Sm3TePd (PBE, the Alexandria database).

Total moment: 0.00 μB per atom
Formation energy (no corrections): -0.6272 eV/atom

Cell lengths 6.7489, 6.7489, 9.1739 Å; angles 68.42, 68.42, 60.00 degrees
Last column: nearest neighbours and their distance in Å.
Positions (direct):
Sm1 0.5916 0.2433 0.2181  2 Pd 2.89-2.94, 2 Te 3.20-3.21
Sm2 0.0529 0.7567 0.7819  2 Pd 2.89-2.94, 2 Te 3.20-3.21
Sm3 0.2433 0.9471 0.2181  2 Pd 2.89-2.94, 2 Te 3.20-3.21
Sm4 0.7567 0.4084 0.7819  2 Pd 2.89-2.94, 2 Te 3.20-3.21
Sm5 0.4084 0.0529 0.7819  2 Pd 2.89-2.94, 2 Te 3.20-3.21
Sm6 0.9471 0.5916 0.2181  2 Pd 2.89-2.94, 2 Te 3.20-3.21
Pd1 0.6601 0.6601 0.0196  6 Sm 2.89-2.94
Pd2 0.3399 0.3399 0.9804  6 Sm 2.89-2.94
Te1 0.1659 0.1659 0.5023  6 Sm 3.20-3.21
Te2 0.8341 0.8341 0.4977  6 Sm 3.20-3.21

***

# SmTe2Pd7

A relaxed structure of SmTe2Pd7 (PBE, the Alexandria database).

Total moment: 0.00 μB per atom
Formation energy (no corrections): -0.4795 eV/atom

Cell lengths 4.2540, 4.2540, 11.1934 Å; angles 100.95, 100.95, 90.00 degrees
Last column: nearest neighbours and their distance in Å.
Positions (direct):
Sm1 0.0000 0.0000 0.0000  12 Pd 2.96-3.01
Pd1 0.9049 0.4049 0.8097  2 Te 2.70, 2 Sm 2.96, 6 Pd 2.96-3.01
Pd2 0.7500 0.2500 0.5000  4 Te 2.71, 4 Pd 3.01
Pd3 0.0951 0.5951 0.1903  2 Te 2.70, 2 Sm 2.96, 6 Pd 2.96-3.01
Pd4 0.2500 0.7500 0.5000  4 Te 2.71, 4 Pd 3.01
Pd5 0.5951 0.0951 0.1903  2 Te 2.70, 6 Pd 2.96-3.01, 2 Sm 2.96
Pd6 0.5000 0.5000 0.0000  8 Pd 2.96, 4 Sm 3.01
Pd7 0.4049 0.9049 0.8097  2 Te 2.70, 6 Pd 2.96-3.01, 2 Sm 2.96
Te1 0.3280 0.3280 0.6561  8 Pd 2.70-2.71
Te2 0.6720 0.6720 0.3439  8 Pd 2.70-2.71

***

# Sm6Te5Pd

A relaxed structure of Sm6Te5Pd (PBE, the Alexandria database).

Total moment: 0.00 μB per atom
Formation energy (no corrections): -1.3007 eV/atom

Cell lengths 7.6534, 7.6534, 7.6372 Å; angles 99.72, 99.72, 119.89 degrees
Last column: nearest neighbours and their distance in Å.
Positions (direct):
Te1 0.8216 0.1784 0.5000  6 Sm 3.14-3.22
Te2 0.5000 0.5000 0.5000  6 Sm 3.14-3.28
Te3 0.1784 0.8216 0.5000  6 Sm 3.14-3.22
Te4 0.3363 0.6637 0.0000  6 Sm 3.14
Te5 0.6637 0.3363 0.0000  6 Sm 3.14
Sm1 0.9251 0.6126 0.7683  1 Pd 2.91, 5 Te 3.14-3.22
Sm2 0.2311 0.2311 0.7546  1 Pd 2.98, 5 Te 3.14-3.28
Sm3 0.7689 0.7689 0.2454  1 Pd 2.98, 5 Te 3.14-3.28
Sm4 0.0749 0.3874 0.2317  1 Pd 2.91, 5 Te 3.14-3.22
Sm5 0.6126 0.9251 0.7683  1 Pd 2.91, 5 Te 3.14-3.22
Sm6 0.3874 0.0749 0.2317  1 Pd 2.91, 5 Te 3.14-3.22
Pd1 0.0000 0.0000 0.0000  6 Sm 2.91-2.98

***

# SmTePd6

A relaxed structure of SmTePd6 (PBE, the Alexandria database).

Total moment: 0.00 μB per atom
Formation energy (no corrections): -0.4871 eV/atom

Cell lengths 4.1366, 4.1366, 8.2289 Å; angles 90.00, 90.00, 90.00 degrees
Last column: nearest neighbours and their distance in Å.
Positions (direct):
Pd1 0.0000 0.5000 0.7427  8 Pd 2.87-2.96, 2 Te 2.87, 2 Sm 2.96
Pd2 0.5000 0.0000 0.2573  2 Te 2.87, 8 Pd 2.87-2.96, 2 Sm 2.96
Pd3 0.5000 0.5000 0.0000  4 Sm 2.93, 8 Pd 2.96
Pd4 0.5000 0.0000 0.7427  8 Pd 2.87-2.96, 2 Te 2.87, 2 Sm 2.96
Pd5 0.0000 0.5000 0.2573  2 Te 2.87, 8 Pd 2.87-2.96, 2 Sm 2.96
Pd6 0.5000 0.5000 0.5000  8 Pd 2.87, 4 Te 2.93
Sm1 0.0000 0.0000 0.0000  12 Pd 2.93-2.96
Te1 0.0000 0.0000 0.5000  12 Pd 2.87-2.93

***

# SmTl2Te2Pd7

A relaxed structure of SmTl2Te2Pd7 (PBE, the Alexandria database).

Total moment: 0.00 μB per atom
Formation energy (no corrections): -0.4116 eV/atom

Cell lengths 4.1355, 4.1355, 15.4431 Å; angles 86.10, 86.10, 89.99 degrees
Last column: nearest neighbours and their distance in Å.
Positions (direct):
Pd1 0.4035 0.4035 0.4187  1 Te 2.66, 3 Tl 2.85-2.93, 1 Pd 2.85
Pd2 0.5000 0.5000 0.0000  4 Sm 2.92, 8 Pd 2.95-2.96
Pd3 0.5358 0.0365 0.8624  2 Te 2.65, 6 Pd 2.92-2.96, 2 Sm 2.96
Pd4 0.9635 0.4642 0.1376  2 Te 2.65, 6 Pd 2.92-2.96, 2 Sm 2.96
Pd5 0.0365 0.5358 0.8624  2 Te 2.65, 6 Pd 2.92-2.96, 2 Sm 2.96
Pd6 0.5965 0.5965 0.5813  1 Te 2.66, 3 Tl 2.85-2.93, 1 Pd 2.85
Pd7 0.4642 0.9635 0.1376  2 Te 2.65, 6 Pd 2.92-2.96, 2 Sm 2.96
Sm1 0.0000 0.0000 0.0000  12 Pd 2.92-2.96
Te1 0.5638 0.5638 0.7543  5 Pd 2.65-2.66
Te2 0.4362 0.4362 0.2457  5 Pd 2.65-2.66
Tl1 0.8918 0.8918 0.4096  5 Pd 2.85-3.02, 1 Tl 3.17
Tl2 0.1082 0.1082 0.5904  5 Pd 2.85-3.02, 1 Tl 3.17

***

# SmTh2Pd7

A relaxed structure of SmTh2Pd7 (PBE, the Alexandria database).

Total moment: 0.00 μB per atom
Formation energy: -0.6856 eV per atom

Cell lengths 5.2081, 5.2081, 9.5975 Å; angles 112.03, 112.03, 67.51 degrees
Last column: nearest neighbours and their distance in Å.
Positions (direct):
Pd1 0.5844 0.0844 0.1687  6 Pd 2.84-2.98, 2 Th 2.98, 2 Sm 2.98
Pd2 0.9156 0.4156 0.8313  6 Pd 2.84-2.98, 2 Th 2.98, 2 Sm 2.98
Pd3 0.4156 0.9156 0.8313  6 Pd 2.84-2.98, 2 Th 2.98, 2 Sm 2.98
Pd4 0.0844 0.5844 0.1687  6 Pd 2.84-2.98, 2 Th 2.98, 2 Sm 2.98
Pd5 0.7500 0.2500 0.5000  4 Pd 2.84-2.89, 4 Th 2.96
Pd6 0.5000 0.5000 0.0000  2 Th 2.89, 2 Sm 2.89, 8 Pd 2.98
Pd7 0.2500 0.7500 0.5000  4 Pd 2.84-2.89, 4 Th 2.96
Th1 0.3315 0.3315 0.6631  9 Pd 2.89-2.98
Th2 0.6685 0.6685 0.3369  9 Pd 2.89-2.98
Sm1 0.0000 0.0000 0.0000  10 Pd 2.89-2.98

***

# Sm3ThPd12

A relaxed structure of Sm3ThPd12 (PBE, the Alexandria database).

Total moment: 0.00 μB per atom
Formation energy: -0.8670 eV per atom

Cell lengths 4.1851, 4.1851, 16.7059 Å; angles 90.00, 90.00, 90.00 degrees
Last column: nearest neighbours and their distance in Å.
Positions (direct):
Pd1 0.0000 0.5000 0.3749  4 Sm 2.93-2.96, 8 Pd 2.96
Pd2 0.5000 0.5000 0.7504  8 Pd 2.96, 4 Sm 2.96
Pd3 0.5000 0.0000 0.3749  4 Sm 2.93-2.96, 8 Pd 2.96
Pd4 0.0000 0.5000 0.8759  2 Th 2.95, 8 Pd 2.95-2.96, 2 Sm 2.99
Pd5 0.5000 0.0000 0.8759  8 Pd 2.95-2.96, 2 Th 2.95, 2 Sm 2.99
Pd6 0.5000 0.5000 0.2496  8 Pd 2.96, 4 Sm 2.96
Pd7 0.0000 0.5000 0.1241  2 Th 2.95, 8 Pd 2.95-2.96, 2 Sm 2.99
Pd8 0.5000 0.0000 0.6251  4 Sm 2.93-2.96, 8 Pd 2.96
Pd9 0.5000 0.5000 0.0000  8 Pd 2.95, 4 Th 2.96
Pd10 0.5000 0.5000 0.5000  8 Pd 2.96, 4 Sm 2.96
Pd11 0.0000 0.5000 0.6251  4 Sm 2.93-2.96, 8 Pd 2.96
Pd12 0.5000 0.0000 0.1241  8 Pd 2.95-2.96, 2 Th 2.95, 2 Sm 2.99
Sm1 0.0000 0.0000 0.7480  12 Pd 2.93-2.99
Sm2 0.0000 0.0000 0.2520  12 Pd 2.93-2.99
Sm3 0.0000 0.0000 0.5000  12 Pd 2.96
Th1 0.0000 0.0000 0.0000  12 Pd 2.95-2.96

***

# SmTh3Pd12

A relaxed structure of SmTh3Pd12 (PBE, the Alexandria database).

Total moment: 0.00 μB per atom
Formation energy: -0.9281 eV per atom

Cell lengths 4.2039, 4.2039, 16.8605 Å; angles 90.00, 90.00, 90.00 degrees
Last column: nearest neighbours and their distance in Å.
Positions (direct):
Pd1 0.5000 0.5000 0.0000  4 Sm 2.97, 8 Pd 2.99
Pd2 0.0000 0.5000 0.8743  2 Th 2.93, 8 Pd 2.97-2.99, 2 Sm 2.99
Pd3 0.5000 0.5000 0.5000  4 Th 2.97, 8 Pd 2.98
Pd4 0.5000 0.0000 0.1257  2 Th 2.93, 8 Pd 2.97-2.99, 2 Sm 2.99
Pd5 0.0000 0.5000 0.6250  8 Pd 2.96-2.98, 4 Th 2.98-3.02
Pd6 0.0000 0.5000 0.1257  2 Th 2.93, 8 Pd 2.97-2.99, 2 Sm 2.99
Pd7 0.5000 0.5000 0.7490  8 Pd 2.96-2.98, 4 Th 2.97
Pd8 0.5000 0.5000 0.2510  8 Pd 2.96-2.98, 4 Th 2.97
Pd9 0.5000 0.0000 0.8743  2 Th 2.93, 8 Pd 2.97-2.99, 2 Sm 2.99
Pd10 0.0000 0.5000 0.3750  8 Pd 2.96-2.98, 4 Th 2.98-3.02
Pd11 0.5000 0.0000 0.3750  8 Pd 2.96-2.98, 4 Th 2.98-3.02
Pd12 0.5000 0.0000 0.6250  8 Pd 2.96-2.98, 4 Th 2.98-3.02
Th1 0.0000 0.0000 0.2464  12 Pd 2.93-3.02
Th2 0.0000 0.0000 0.7536  12 Pd 2.93-3.02
Th3 0.0000 0.0000 0.5000  12 Pd 2.97-2.98
Sm1 0.0000 0.0000 0.0000  12 Pd 2.97-2.99